Ta2CuSi | PBE-GGA | relaxed

```
4
Lattice="2.872 -0.022 0.000 -0.467 2.834 0.000 0.000 0.000 7.581" Properties=species:S:1:pos:R:3 pbc="T T T"
Cu 1.202 1.406 1.895
Si 1.202 1.406 5.685
Ta 0.000 0.000 7.526
Ta 0.000 0.000 3.845
```

## Properties
- D(E_F) (states/eV/atom) = 0.55
- uncorrected formation energy (eV/f.u.) = -0.283